Entry from Alexandria: a PBEsol-optimized structure of MgScMo2 (SCAN).

CIF file:
```
data_MgScMo2
_space_group_name_H-M_alt 'P 4 m m'
_space_group_IT_number 99
_space_group_name_Hall 'P 4 -2'
_cell_length_a 3.201
_cell_length_b 3.201
_cell_length_c 7.096
_cell_angle_alpha 90.00
_cell_angle_beta 90.00
_cell_angle_gamma 90.00
loop_
_atom_site_label
_atom_site_type_symbol
_atom_site_fract_x
_atom_site_fract_y
_atom_site_fract_z
Mg1 Mg 0.000 0.000 0.000
Sc1 Sc 0.500 0.500 0.684
Mo1 Mo 0.000 0.000 0.438
Mo2 Mo 0.500 0.500 0.254
```

VASP energy: -22.180 eV/atom
Energy of formation from the pure elements: 0.065 eV per atom